1.
## AlAs2Rh (PBE-GGA)

Data for a relaxed AlAs2Rh crystal.

Unit cell a=4.442 b=4.442 c=3.488 alpha=90.00 beta=90.00 gamma=105.71
Atoms (fractional coordinates):
As (0.000, 0.000, 0.000)
As (0.500, 0.500, 0.000)
Al (0.000, 0.500, 0.500)
Rh (0.500, 0.000, 0.500)

Summary:
Space-group type: Cmmm (65)
DFT formation energy, eV/atom: -0.0550
DOS at the Fermi energy, states/eV/cell: 1.9
DFT total energy, eV/atom: -5.15

---

2.
## TaTl2Ru (PBE-GGA)

Data for a relaxed TaTl2Ru crystal.

Unit cell a=5.765 b=5.765 c=5.231 alpha=62.71 beta=62.71 gamma=31.24
Atoms (fractional coordinates):
Ta (0.750, 0.750, 0.750)
Tl (0.986, 0.986, 0.014)
Tl (0.514, 0.514, 0.486)
Ru (0.250, 0.250, 0.250)

Summary:
Energy above the most stable polymorph in this dataset, meV/atom: 421
Space-group type: C2/m (12)
DFT formation energy, eV/atom: 0.6210
DOS at the Fermi energy, states/eV/cell: 2.9
DFT total energy, eV/atom: -5.84

---

3.
## SrAcMgHg (PBE-GGA)

Data for a relaxed SrAcMgHg crystal.

Unit cell a=4.083 b=4.083 c=8.198 alpha=90.00 beta=90.00 gamma=90.00
Atoms (fractional coordinates):
Sr (0.000, 0.000, 0.367)
Hg (0.500, 0.500, 0.610)
Ac (0.000, 0.000, 0.847)
Mg (0.500, 0.500, 0.104)

Summary:
Energy above the most stable polymorph in this dataset, meV/atom: 0
Space-group type: P4mm (99)
DFT formation energy, eV/atom: -0.2857
DOS at the Fermi energy, states/eV/cell: 3.9
DFT total energy, eV/atom: -2.21

---

4.
## Ba2ZrMn (PBE-GGA)

Data for a relaxed Ba2ZrMn crystal.

Unit cell a=10.239 b=10.239 c=10.239 alpha=159.65 beta=156.76 gamma=31.08
Site moments in Bohr magnetons follow the coordinates.
Atoms (fractional coordinates):
Zr (0.250, 0.750, 0.500)  -0.83
Mn (0.750, 0.250, 0.500)  3.04
Ba (0.904, 0.904, 0.000)  -0.03
Ba (0.596, 0.596, 0.000)  -0.03

Summary:
Energy above the most stable polymorph in this dataset, meV/atom: 97
Space-group type: Immm (71)
DFT formation energy, eV/atom: 0.4865
DOS at the Fermi energy, states/eV/cell: 6.3
DFT total energy, eV/atom: -4.90

---

5.
## CaMnIr (PBE-GGA)

Data for a relaxed CaMnIr crystal.

Unit cell a=4.267 b=5.300 c=5.583 alpha=98.73 beta=67.52 gamma=113.72
Atoms (fractional coordinates):
Mn (0.511, 0.588, 0.712)
Mn (0.346, 0.142, 0.596)
Ir (0.847, 0.957, 0.409)
Ir (0.010, 0.772, 0.899)
Ca (0.670, 0.179, 0.986)
Ca (0.187, 0.550, 0.322)

Summary:
Energy above the most stable polymorph in this dataset, meV/atom: 195
Space-group type: C2/m (12)
DFT formation energy, eV/atom: -0.0096
DOS at the Fermi energy, states/eV/cell: 4.3
DFT total energy, eV/atom: -6.69

---

6.
## LaZnCo (PBE-GGA)

Data for a relaxed LaZnCo crystal.

Unit cell a=4.741 b=4.741 c=4.741 alpha=60.00 beta=60.00 gamma=60.00
Site moments in Bohr magnetons follow the coordinates.
Atoms (fractional coordinates):
Zn (0.000, 0.000, 0.000)  -0.01
La (0.750, 0.750, 0.750)  -0.06
Co (0.500, 0.500, 0.500)  0.23

Summary:
Space-group type: F-43m (216)
DFT formation energy, eV/atom: 0.6311
DOS at the Fermi energy, states/eV/cell: 2.1
DFT total energy, eV/atom: -3.80